(1)
ZnRe3Rh PBE relaxed; total moment = 0.4 μB/f.u.; total energy = -6.88 eV per atom; DOS(E_F) = 1.31 states/eV per atom; energy of formation = 1118 kJ/mol of formula units
1.0
4.672 0.000 0.000
0.000 4.672 0.000
0.000 0.000 4.672
Re Zn Rh
3 1 1
direct
0.000 0.500 0.000
0.000 0.000 0.500
0.500 0.000 0.000
0.500 0.500 0.500
0.000 0.000 0.000


(2)
TeIrPt2 PBE relaxed; total moment = 0.0 μB/f.u.; total energy = -5.65 eV per atom; DOS(E_F) = 0.92 states/eV per atom; E_form (uncorrected) = 372 meV/atom
1.0
8.739 0.018 0.011
8.190 3.050 0.011
8.190 1.484 2.664
Ir Pt Te
1 2 1
direct
0.751 0.751 0.751
0.001 0.001 0.001
0.250 0.250 0.250
0.497 0.497 0.497


(3)
KPu2IO8 PBE relaxed; total moment = 4.0 μB/f.u.; total energy = -7.77 eV per atom; DOS(E_F) = 0.81 states/eV per atom; E_form (uncorrected) = -1859 meV/atom
1.0
5.452 0.639 0.047
0.766 6.020 0.059
0.095 0.108 7.014
K Pu I O
1 2 1 8
direct
0.000 0.000 0.500
0.502 0.503 0.755
0.498 0.497 0.245
0.000 0.000 0.000
0.188 0.768 0.212
0.656 0.621 0.040
0.763 0.192 0.211
0.812 0.232 0.788
0.344 0.379 0.960
0.237 0.808 0.789
0.652 0.624 0.539
0.348 0.376 0.461


(4)
Tb2Dy3Er4 PBE relaxed; total moment = 0.0 μB/f.u.; total energy = -4.49 eV per atom; DOS(E_F) = 1.47 states/eV per atom; energy of formation = 88 kJ/mol of formula units
1.0
5.733 1.606 1.150
2.327 10.877 0.739
2.327 4.205 10.059
Tb Dy Er
4 6 8
direct
0.422 0.236 0.521
0.078 0.479 0.764
0.578 0.764 0.479
0.922 0.521 0.236
0.758 0.069 0.263
0.742 0.737 0.931
0.242 0.931 0.737
0.258 0.263 0.069
0.250 0.597 0.403
0.750 0.403 0.597
0.422 0.905 0.187
0.078 0.813 0.095
0.578 0.095 0.813
0.922 0.187 0.905
0.080 0.146 0.426
0.420 0.574 0.854
0.920 0.854 0.574
0.580 0.426 0.146


(5)
LiSm4Al2Ga PBE relaxed; total moment = 0.0 μB/f.u.; total energy = -4.25 eV per atom; DOS(E_F) = 0.93 states/eV per atom; energy of formation = -264 kJ/mol of formula units
1.0
-0.742 4.760 -2.013
-3.258 3.344 2.338
5.126 5.700 4.820
Li Sm Al Ga
1 4 2 1
direct
0.000 0.000 0.000
0.378 0.378 0.865
0.873 0.873 0.382
0.127 0.127 0.618
0.622 0.622 0.135
0.745 0.745 0.764
0.255 0.255 0.236
0.500 0.500 0.500


(6)
Ac2AgSn3Rh4 PBE relaxed; total moment = 0.0 μB/f.u.; total energy = -5.88 eV per atom; DOS(E_F) = 0.50 states/eV per atom; energy of formation = -609 kJ/mol of formula units
1.0
4.470 0.000 0.000
0.000 4.470 0.000
0.000 0.000 11.320
Ac Ag Sn Rh
2 1 3 4
direct
0.500 0.000 0.256
0.000 0.500 0.744
0.500 0.500 0.500
0.000 0.000 0.500
0.500 0.000 0.876
0.000 0.500 0.124
0.500 0.500 0.000
0.000 0.000 0.000
0.500 0.000 0.643
0.000 0.500 0.357


(7)
RbBS2O8 PBE relaxed; total moment = 0.1 μB/f.u.; total energy = -6.12 eV per atom; DOS(E_F) = 0.00 states/eV per atom; E_form (uncorrected) = -1489 meV/atom
1.0
-2.512 1.470 4.165
1.467 -3.646 3.221
5.888 3.574 5.447
Rb B S O
1 1 2 8
direct
0.000 0.000 0.500
0.000 0.000 0.000
0.622 0.622 0.251
0.378 0.378 0.749
0.653 0.277 0.767
0.823 0.823 0.055
0.708 0.708 0.370
0.292 0.292 0.630
0.177 0.177 0.945
0.277 0.653 0.767
0.723 0.347 0.233
0.347 0.723 0.233


(8)
Ba6As3O PBE relaxed; total moment = 0.7 μB/f.u.; total energy = -4.33 eV per atom; DOS(E_F) = 0.40 states/eV per atom; E_form (uncorrected) = -1285 meV/atom
1.0
7.727 0.000 0.000
0.000 10.296 0.019
0.000 -2.279 10.040
Ba As O
12 6 2
direct
0.201 0.677 0.641
0.701 0.641 0.677
0.176 0.415 0.889
0.676 0.889 0.415
0.157 0.046 0.954
0.688 0.213 0.787
0.188 0.787 0.213
0.657 0.954 0.046
0.176 0.111 0.585
0.676 0.585 0.111
0.201 0.359 0.323
0.701 0.323 0.359
0.470 0.926 0.714
0.970 0.714 0.926
0.422 0.383 0.617
0.922 0.617 0.383
0.970 0.074 0.286
0.470 0.286 0.074
0.023 0.189 0.811
0.523 0.811 0.189